Entry i
The following is a DFT calculation (GGA-PBE) of crystalline Ac3Ge2Ir at its relaxed geometry.

Summary:
For the total magnetic moment, the calculation gives 0.00 μB/cell.

Unit cell a=7.811 b=7.811 c=7.811 alpha=65.67 beta=65.67 gamma=65.67
Atoms (fractional coordinates):
1 Ac 0.069 0.750 0.431
2 Ac 0.250 0.569 0.931
3 Ac 0.431 0.069 0.750
4 Ac 0.569 0.931 0.250
5 Ac 0.750 0.431 0.069
6 Ac 0.931 0.250 0.569
7 Ge 0.146 0.146 0.146
8 Ge 0.354 0.354 0.354
9 Ge 0.646 0.646 0.646
10 Ge 0.854 0.854 0.854
11 Ir 0.000 0.000 0.000
12 Ir 0.500 0.500 0.500

=====

Entry ii
The following is a DFT calculation (GGA-PBE) of crystalline Ac3Ge2Ir at its relaxed geometry.

Summary:
For the total magnetic moment, the calculation gives 0.00 μB/cell.

Unit cell a=12.686 b=4.523 c=12.427 alpha=90.00 beta=90.00 gamma=90.00
Atoms (fractional coordinates):
1 Ac 0.058 0.250 0.128
2 Ac 0.116 0.750 0.553
3 Ac 0.219 0.250 0.802
4 Ac 0.281 0.750 0.302
5 Ac 0.384 0.250 0.053
6 Ac 0.442 0.750 0.628
7 Ac 0.558 0.250 0.372
8 Ac 0.616 0.750 0.947
9 Ac 0.719 0.250 0.698
10 Ac 0.781 0.750 0.198
11 Ac 0.884 0.250 0.447
12 Ac 0.942 0.750 0.872
13 Ge 0.024 0.750 0.314
14 Ge 0.198 0.750 0.995
15 Ge 0.302 0.250 0.495
16 Ge 0.476 0.250 0.814
17 Ge 0.524 0.750 0.186
18 Ge 0.698 0.750 0.505
19 Ge 0.802 0.250 0.005
20 Ge 0.976 0.250 0.686
21 Ir 0.130 0.250 0.366
22 Ir 0.370 0.750 0.866
23 Ir 0.630 0.250 0.134
24 Ir 0.870 0.750 0.634

=====

Comparing the structures above, entry ii comes out on top by 0.108 eV/atom.